1.
VASP calculation (PBE) on crystalline La2Nd4Sm2Dy at its relaxed geometry.

Computed properties:
space group: C2/m (12)

POSCAR file:
```
La2Nd4Sm2Dy
1.0
9.5981 -1.8522 0.0000
9.5981 1.8522 0.0000
-4.2532 0.0000 8.8685
La Nd Sm Dy
2 4 2 1
Cartesian
1.0499 0.0000 4.4264 La
13.8930 0.0000 4.4421 La
-3.1822 0.0000 7.3806 Nd
5.3310 0.0000 1.4750 Nd
9.6120 0.0000 7.3935 Nd
18.1252 0.0000 1.4879 Nd
3.2219 0.0000 7.3909 Sm
11.7211 0.0000 1.4776 Sm
7.4715 0.0000 4.4343 Dy
```

2.
VASP calculation (PBE) on crystalline LaNd5SmDy2 at its relaxed geometry.

Computed properties:
space group: Cmc2_1 (36)

POSCAR file:
```
LaNd5SmDy2
1.0
2.8761 -10.2244 0.0000
2.8761 10.2244 0.0000
0.0000 0.0000 10.7227
La Nd Sm Dy
2 10 2 4
Cartesian
2.8761 8.5037 5.3614 La
2.8761 -8.5037 0.0000 La
2.8761 9.7772 8.4857 Nd
2.8761 7.9426 0.8263 Nd
2.8761 6.0526 8.1157 Nd
2.8761 5.7330 3.9049 Nd
2.8761 0.3361 0.8148 Nd
2.8761 -0.3361 6.1762 Nd
2.8761 -5.7330 9.2663 Nd
2.8761 -6.0526 2.7543 Nd
2.8761 -7.9426 6.1876 Nd
2.8761 -9.7772 3.1244 Nd
2.8761 4.0901 0.6699 Sm
2.8761 -4.0901 6.0313 Sm
2.8761 2.3800 4.0059 Dy
2.8761 2.3144 8.4058 Dy
2.8761 -2.3144 3.0444 Dy
2.8761 -2.3800 9.3673 Dy
```

3.
VASP calculation (PBE) on crystalline LaNd2Sm2Dy4 at its relaxed geometry.

Computed properties:
space group: C2/m (12)

POSCAR file:
```
LaNd2Sm2Dy4
1.0
9.4637 -1.8254 0.0000
9.4637 1.8254 0.0000
-4.2033 0.0000 8.7236
La Nd Sm Dy
1 2 2 4
Cartesian
0.0000 0.0000 0.0000 La
2.1070 0.0000 8.7005 Nd
12.6171 0.0000 0.0232 Nd
-0.0046 0.0000 5.7836 Sm
14.7287 0.0000 2.9400 Sm
2.0959 0.0000 2.9423 Dy
6.3014 0.0000 5.7957 Dy
8.4227 0.0000 2.9279 Dy
12.6282 0.0000 5.7813 Dy
```

4.
VASP calculation (PBE) on crystalline LaNd2Sm4Dy at its relaxed geometry.

Computed properties:
space group: P2/m (10)

POSCAR file:
```
LaNd2Sm4Dy
1.0
6.2903 0.0000 0.0000
0.0000 3.6575 0.0000
-2.1689 0.0000 11.9330
La Nd Sm Dy
1 2 4 1
Cartesian
0.0000 0.0000 0.0000 La
-1.0844 1.8288 5.9665 Nd
2.0607 0.0000 5.9665 Nd
-0.0572 0.0000 8.9662 Sm
1.0386 1.8288 2.9831 Sm
3.0828 1.8288 8.9499 Sm
4.1785 0.0000 2.9669 Sm
3.1451 1.8288 0.0000 Dy
```

5.
VASP calculation (PBE) on crystalline La4NdSmDy2 at its relaxed geometry.

Computed properties:
space group: P2/m (10)

POSCAR file:
```
La4NdSmDy2
1.0
6.3686 0.0000 0.0000
0.0000 3.6847 0.0000
-2.1173 0.0000 11.8534
La Nd Sm Dy
4 1 1 2
Cartesian
1.0448 0.0000 2.9380 La
-0.0062 1.8423 8.8838 La
4.2575 1.8423 2.9696 La
3.2065 0.0000 8.9153 La
2.1256 1.8423 5.9267 Nd
3.1843 0.0000 0.0000 Sm
-1.0586 0.0000 5.9267 Dy
0.0000 1.8423 0.0000 Dy
```

6.
VASP calculation (PBE) on crystalline La6Nd2SmDy at its relaxed geometry.

Computed properties:
space group: C2/c (15)

POSCAR file:
```
La6Nd2SmDy
1.0
4.9602 -7.7135 0.0000
4.9602 7.7135 0.0000
-0.0683 0.0000 9.3133
La Nd Sm Dy
12 4 2 2
Cartesian
2.3965 3.3700 7.6280 La
4.1890 5.4021 5.5100 La
5.6289 5.4021 8.4600 La
4.1934 2.2310 3.7724 La
5.6928 2.2310 0.8842 La
2.4307 -3.3700 2.9713 La
7.4215 3.3700 6.3420 La
4.1593 -2.2310 8.4291 La
5.6587 -2.2310 5.5409 La
4.2232 -5.4021 0.8534 La
5.6631 -5.4021 3.8033 La
7.4556 -3.3700 1.6853 La
2.4779 0.6922 0.5973 Nd
2.4438 -0.6922 5.2540 Nd
7.4083 0.6922 4.0593 Nd
7.3742 -0.6922 8.7160 Nd
4.9431 6.6653 2.3283 Sm
4.9090 -6.6653 6.9850 Sm
4.9090 1.0941 6.9850 Dy
4.9431 -1.0941 2.3283 Dy
```

7.
VASP calculation (PBE) on crystalline LaNdSm2Dy4 at its relaxed geometry.

Computed properties:
space group: P-1 (2)

POSCAR file:
```
LaNdSm2Dy4
1.0
7.2507 0.0000 0.0000
0.0395 7.2550 0.0000
0.0064 0.0004 10.0951
La Nd Sm Dy
2 2 4 8
Cartesian
0.0000 0.0000 0.0000 La
0.0198 3.6275 0.0000 La
0.0032 0.0002 5.0475 Nd
3.6253 0.0000 0.0000 Nd
0.0230 3.6277 5.0475 Sm
3.6285 0.0002 5.0475 Sm
3.6451 3.6275 0.0000 Sm
3.6483 3.6277 5.0475 Sm
1.8386 1.8192 2.5458 Dy
1.8419 1.8199 7.5480 Dy
1.8587 5.4350 2.5455 Dy
1.8608 5.4363 7.5494 Dy
5.4358 1.8191 2.5457 Dy
5.4379 1.8204 7.5496 Dy
5.4547 5.4355 2.5471 Dy
5.4579 5.4362 7.5493 Dy
```

8.
VASP calculation (PBE) on crystalline LaNdSm4Dy2 at its relaxed geometry.

Computed properties:
space group: P-1 (2)

POSCAR file:
```
LaNdSm4Dy2
1.0
7.2621 0.0000 0.0000
-0.0186 7.2773 0.0000
-0.0066 -0.0096 10.2585
La Nd Sm Dy
2 2 8 4
Cartesian
0.0000 0.0000 0.0000 La
-0.0093 3.6387 0.0000 La
-0.0033 -0.0048 5.1293 Nd
3.6310 0.0000 0.0000 Nd
1.8322 1.8295 2.5988 Sm
1.8277 1.8281 7.6587 Sm
1.8212 5.4425 2.6018 Sm
1.8179 5.4377 7.6567 Sm
5.4189 1.8301 2.6018 Sm
5.4157 1.8252 7.6567 Sm
5.4091 5.4396 2.5998 Sm
5.4047 5.4382 7.6598 Sm
-0.0126 3.6339 5.1293 Dy
3.6277 -0.0048 5.1293 Dy
3.6217 3.6387 0.0000 Dy
3.6184 3.6339 5.1293 Dy
```

9.
VASP calculation (PBE) on crystalline La5NdSm2Dy at its relaxed geometry.

Computed properties:
space group: I4/mcm (140)

POSCAR file:
```
La5NdSm2Dy
1.0
-4.5960 4.5960 7.6359
4.5960 -4.5960 7.6359
4.5960 4.5960 -7.6359
La Nd Sm Dy
10 2 4 2
Cartesian
0.0000 0.0000 0.0000 La
6.4960 1.9000 -2.1244 La
1.9000 2.6960 -2.1244 La
6.4960 1.9000 2.1244 La
1.9000 2.6960 2.1244 La
0.0000 0.0000 7.6359 La
2.6960 1.9000 5.5116 La
-1.9000 2.6960 5.5116 La
2.6960 1.9000 9.7603 La
-1.9000 2.6960 9.7603 La
0.0000 0.0000 3.8180 Nd
0.0000 0.0000 11.4539 Nd
3.5539 1.0421 0.0000 Sm
3.5539 -1.0421 7.6359 Sm
1.0421 5.6381 0.0000 Sm
1.0421 3.5539 7.6359 Sm
4.5960 0.0000 3.8180 Dy
0.0000 4.5960 3.8180 Dy
```

10.
VASP calculation (PBE) on crystalline La2NdSm5Dy at its relaxed geometry.

Computed properties:
space group: I4/mcm (140)

POSCAR file:
```
La2NdSm5Dy
1.0
-4.3835 4.3835 8.1067
4.3835 -4.3835 8.1067
4.3835 4.3835 -8.1067
La Nd Sm Dy
4 2 10 2
Cartesian
5.4254 1.0419 0.0000 La
1.0419 3.3416 0.0000 La
3.3416 1.0419 8.1067 La
-1.0419 3.3416 8.1067 La
0.0000 0.0000 4.0533 Nd
0.0000 0.0000 12.1600 Nd
0.0000 0.0000 0.0000 Sm
2.4850 1.8985 -2.2977 Sm
2.4850 -1.8985 5.8090 Sm
2.4850 1.8985 2.2977 Sm
2.4850 -1.8985 10.4044 Sm
0.0000 0.0000 8.1067 Sm
1.8985 6.2820 -2.2977 Sm
1.8985 2.4850 5.8090 Sm
1.8985 6.2820 2.2977 Sm
1.8985 2.4850 10.4044 Sm
4.3835 0.0000 4.0533 Dy
0.0000 4.3835 4.0533 Dy
```

11.
VASP calculation (PBE) on crystalline La5Nd2SmDy at its relaxed geometry.

Computed properties:
space group: I4/mcm (140)

POSCAR file:
```
La5Nd2SmDy
1.0
-4.5045 4.5045 7.9764
4.5045 -4.5045 7.9764
4.5045 4.5045 -7.9764
La Nd Sm Dy
10 4 2 2
Cartesian
0.0000 0.0000 0.0000 La
6.3933 1.8888 -2.2463 La
1.8888 2.6156 -2.2463 La
6.3933 1.8888 2.2463 La
1.8888 2.6156 2.2463 La
0.0000 0.0000 7.9764 La
2.6156 1.8888 5.7300 La
-1.8888 2.6156 5.7300 La
2.6156 1.8888 10.2227 La
-1.8888 2.6156 10.2227 La
3.4510 1.0535 0.0000 Nd
3.4510 -1.0535 7.9764 Nd
1.0535 5.5580 0.0000 Nd
1.0535 3.4510 7.9764 Nd
0.0000 0.0000 3.9882 Sm
0.0000 0.0000 11.9646 Sm
4.5045 0.0000 3.9882 Dy
0.0000 4.5045 3.9882 Dy
```

12.
VASP calculation (PBE) on crystalline La5NdSmDy2 at its relaxed geometry.

Computed properties:
space group: I4/mcm (140)

POSCAR file:
```
La5NdSmDy2
1.0
-4.4574 4.4574 8.0702
4.4574 -4.4574 8.0702
4.4574 4.4574 -8.0702
La Nd Sm Dy
10 2 2 4
Cartesian
0.0000 0.0000 0.0000 La
6.2033 1.7459 -2.2350 La
1.7459 2.7115 -2.2350 La
6.2033 1.7459 2.2350 La
1.7459 2.7115 2.2350 La
0.0000 0.0000 8.0702 La
2.7115 1.7459 5.8352 La
-1.7459 2.7115 5.8352 La
2.7115 1.7459 10.3052 La
-1.7459 2.7115 10.3052 La
4.4574 0.0000 4.0351 Nd
0.0000 4.4574 4.0351 Nd
0.0000 0.0000 4.0351 Sm
0.0000 0.0000 12.1053 Sm
3.3970 1.0604 0.0000 Dy
3.3970 -1.0604 8.0702 Dy
1.0604 5.5178 0.0000 Dy
1.0604 3.3970 8.0702 Dy
```

13.
VASP calculation (PBE) on crystalline La2Nd6SmDy at its relaxed geometry.

Computed properties:
space group: C2/c (15)

POSCAR file:
```
La2Nd6SmDy
1.0
4.6137 -7.6633 0.0000
4.6137 7.6633 0.0000
-1.8009 0.0000 9.9925
La Nd Sm Dy
4 12 2 2
Cartesian
2.1533 0.7387 0.4076 La
1.2528 -0.7387 5.4039 La
6.1736 0.7387 4.5887 La
5.2732 -0.7387 9.5849 La
2.4169 4.3015 1.8840 Nd
2.9723 4.7505 5.5501 Nd
3.5537 4.7505 9.4387 Nd
3.0054 1.5698 3.7870 Nd
5.9100 4.3015 3.1122 Nd
5.3216 1.5698 1.2092 Nd
2.1049 -1.5698 8.7833 Nd
1.5164 -4.3015 6.8803 Nd
4.4211 -1.5698 6.2055 Nd
3.8728 -4.7505 0.5538 Nd
4.4541 -4.7505 4.4425 Nd
5.0096 -4.3015 8.1085 Nd
4.1635 7.4761 2.4981 Sm
3.2630 -7.4761 7.4944 Sm
3.2630 1.4540 7.4944 Dy
4.1635 -1.4540 2.4981 Dy
```

14.
VASP calculation (PBE) on crystalline LaNd6Sm2Dy at its relaxed geometry.

Computed properties:
space group: C2/c (15)

POSCAR file:
```
LaNd6Sm2Dy
1.0
4.6580 -7.7117 0.0000
4.6580 7.7117 0.0000
-1.3236 0.0000 9.7815
La Nd Sm Dy
2 12 4 2
Cartesian
3.6653 7.3509 7.3361 La
4.3271 -7.3509 2.4454 La
1.7923 4.2548 6.7067 Nd
3.9694 4.8631 0.5395 Nd
4.6847 4.8631 4.3513 Nd
2.5747 1.6309 8.6209 Nd
5.5382 4.2548 7.9655 Nd
4.7558 1.6309 6.0513 Nd
3.2365 -1.6309 3.7301 Nd
2.4541 -4.2548 1.8160 Nd
5.4176 -1.6309 1.1606 Nd
3.3076 -4.8631 5.4302 Nd
4.0229 -4.8631 9.2420 Nd
6.2000 -4.2548 3.0748 Nd
1.5858 0.7714 5.3389 Sm
2.2475 -0.7714 0.4481 Sm
5.7448 0.7714 9.3333 Sm
6.4066 -0.7714 4.4426 Sm
4.3271 1.4077 2.4454 Dy
3.6653 -1.4077 7.3361 Dy
```

15.
VASP calculation (PBE) on crystalline La6NdSm2Dy at its relaxed geometry.

Computed properties:
space group: C2/m (12)

POSCAR file:
```
La6NdSm2Dy
1.0
5.7647 -3.4983 0.0000
5.7647 3.4983 0.0000
-2.8138 0.0000 8.8809
La Nd Sm Dy
6 1 2 1
Cartesian
2.9380 1.6260 1.7154 La
0.2972 0.0000 3.7509 La
5.7776 1.6260 7.1655 La
2.9380 -1.6260 1.7154 La
8.4185 0.0000 5.1300 La
5.7776 -1.6260 7.1655 La
4.3578 0.0000 4.4404 Nd
2.5943 0.0000 7.3681 Sm
6.1213 0.0000 1.5128 Sm
0.0000 0.0000 0.0000 Dy
```

16.
VASP calculation (PBE) on crystalline La2NdSm3Dy6 at its relaxed geometry.

Computed properties:
space group: C2/m (12)

POSCAR file:
```
La2NdSm3Dy6
1.0
3.1349 -5.4299 0.0000
3.1349 5.4299 0.0000
-2.0846 0.0000 11.6874
La Nd Sm Dy
2 1 3 6
Cartesian
3.1349 3.6191 0.0000 La
3.1349 -3.6191 0.0000 La
3.1349 0.0000 0.0000 Nd
-1.0423 0.0000 5.8437 Sm
2.0926 1.8080 5.8437 Sm
2.0926 -1.8080 5.8437 Sm
0.0039 1.8071 8.7330 Dy
1.0521 0.0000 2.9532 Dy
0.0039 -1.8071 8.7330 Dy
4.1813 1.8071 2.9544 Dy
3.1332 0.0000 8.7342 Dy
4.1813 -1.8071 2.9544 Dy
```

17.
VASP calculation (PBE) on crystalline LaNdSmDy3 at its relaxed geometry.

Computed properties:
space group: C2/m (12)

POSCAR file:
```
LaNdSmDy3
1.0
10.0748 -2.8316 0.0000
10.0748 2.8316 0.0000
-0.0264 0.0000 7.0856
La Nd Sm Dy
2 2 2 6
Cartesian
2.9452 0.0000 0.2671 La
17.1781 0.0000 6.8185 La
8.9552 0.0000 5.2464 Nd
11.1681 0.0000 1.8392 Nd
2.9821 0.0000 3.2852 Sm
17.1412 0.0000 3.8004 Sm
0.4553 0.0000 5.2745 Dy
5.5988 0.0000 5.3392 Dy
6.7557 0.0000 1.8428 Dy
13.3676 0.0000 5.2428 Dy
14.5245 0.0000 1.7464 Dy
19.6680 0.0000 1.8112 Dy
```

18.
VASP calculation (PBE) on crystalline La3NdSm2Dy6 at its relaxed geometry.

Computed properties:
space group: C2/m (12)

POSCAR file:
```
La3NdSm2Dy6
1.0
3.1448 -5.4483 0.0000
3.1448 5.4483 0.0000
-2.0925 0.0000 11.6959
La Nd Sm Dy
3 1 2 6
Cartesian
0.0000 0.0000 0.0000 La
3.1448 1.8178 0.0000 La
3.1448 -1.8178 0.0000 La
2.0985 0.0000 5.8479 Nd
2.0985 3.6318 5.8479 Sm
2.0985 -3.6318 5.8479 Sm
1.0495 1.8175 2.9571 Dy
0.0003 0.0000 8.7395 Dy
1.0495 -1.8175 2.9571 Dy
3.1475 1.8175 8.7387 Dy
4.1967 0.0000 2.9563 Dy
3.1475 -1.8175 8.7387 Dy
```

Number 1: E_tot -4.76 eV per atom, spin magnetization 0.0 Bohr magnetons per cell, formation energy from the elements 0.01 eV/atom. Number 2: E_tot -4.60 eV per atom, spin magnetization 0.0 Bohr magnetons per cell, formation energy from the elements 0.15 eV/atom. Number 3: E_tot -4.70 eV per atom, spin magnetization 0.0 Bohr magnetons per cell, formation energy from the elements 0.00 eV/atom. Number 4: E_tot -4.73 eV per atom, spin magnetization 0.0 Bohr magnetons per cell, formation energy from the elements 0.02 eV/atom. Number 5: E_tot -4.79 eV per atom, spin magnetization 0.0 Bohr magnetons per cell, formation energy from the elements 0.01 eV/atom. Number 6: E_tot -4.73 eV per atom, spin magnetization 0.0 Bohr magnetons per cell, formation energy from the elements 0.11 eV/atom. Number 7: E_tot -4.68 eV per atom, spin magnetization 0.0 Bohr magnetons per cell, formation energy from the elements 0.02 eV/atom. Number 8: E_tot -4.70 eV per atom, spin magnetization 0.0 Bohr magnetons per cell, formation energy from the elements 0.02 eV/atom. Number 9: E_tot -4.56 eV per atom, spin magnetization 0.0 Bohr magnetons per cell, formation energy from the elements 0.27 eV/atom. Number 10: E_tot -4.51 eV per atom, spin magnetization 0.0 Bohr magnetons per cell, formation energy from the elements 0.25 eV/atom. Number 11: E_tot -4.57 eV per atom, spin magnetization 0.0 Bohr magnetons per cell, formation energy from the elements 0.26 eV/atom. Number 12: E_tot -4.55 eV per atom, spin magnetization 0.0 Bohr magnetons per cell, formation energy from the elements 0.26 eV/atom. Number 13: E_tot -4.67 eV per atom, spin magnetization 0.0 Bohr magnetons per cell, formation energy from the elements 0.11 eV/atom. Number 14: E_tot -4.65 eV per atom, spin magnetization 0.0 Bohr magnetons per cell, formation energy from the elements 0.11 eV/atom. Number 15: E_tot -4.65 eV per atom, spin magnetization 0.0 Bohr magnetons per cell, formation energy from the elements 0.18 eV/atom. Number 16: E_tot -4.68 eV per atom, spin magnetization 0.0 Bohr magnetons per cell, formation energy from the elements 0.01 eV/atom. Number 17: E_tot -4.52 eV per atom, spin magnetization 0.0 Bohr magnetons per cell, formation energy from the elements 0.18 eV/atom. Number 18: E_tot -4.70 eV per atom, spin magnetization 0.0 Bohr magnetons per cell, formation energy from the elements 0.01 eV/atom.